(w)
Below is a geometry-optimized MnAlIO2 structure, with properties calculated at the PBE+U level. Values from VASP.

The value obtained for the density of states at the Fermi level is 1.35 states/eV/cell. For the calculated volume, the calculation gives 16.6 Å³/atom.

Quantum ESPRESSO input file:
```
&SYSTEM
  ibrav = 0, nat = 5, ntyp = 4
/
ATOMIC_SPECIES
Mn 54.94 Mn.upf
Al 26.98 Al.upf
I 126.90 I.upf
O 16.00 O.upf
CELL_PARAMETERS angstrom
3.798 0.000 0.000
0.000 3.798 0.000
0.000 0.000 5.767
ATOMIC_POSITIONS angstrom
Mn 0.000 0.000 0.000
Al 1.899 1.899 2.884
I 1.899 1.899 0.000
O 0.000 1.899 2.884
O 1.899 0.000 2.884
```

(x)
Below is a geometry-optimized MnAlIO2 structure, with properties calculated at the PBE+U level. Values from VASP.

The value obtained for the density of states at the Fermi level is 2.48 states/eV/cell. For the calculated volume, the calculation gives 18.2 Å³/atom.

Quantum ESPRESSO input file:
```
&SYSTEM
  ibrav = 0, nat = 5, ntyp = 4
/
ATOMIC_SPECIES
Mn 54.94 Mn.upf
Al 26.98 Al.upf
I 126.90 I.upf
O 16.00 O.upf
CELL_PARAMETERS angstrom
3.933 0.000 0.000
0.000 3.933 0.000
0.000 0.000 5.885
ATOMIC_POSITIONS angstrom
Mn 0.000 0.000 0.000
Al 1.966 1.966 2.943
I 0.000 0.000 2.943
O 0.000 1.966 0.000
O 1.966 0.000 0.000
```

Most stable pick: (w). Distance to second place: 564 meV/atom.